# ZnP2 | the Alexandria database | GGA-PBEsol | relaxed
# formation enthalpy at 0 K: 0.202 eV per atom
# uncorrected energy: -0.154 hartree per atom
# total magnetic moment: 0.00 μB/f.u.
data_ZnP2
_cell_length_a 3.261
_cell_length_b 3.261
_cell_length_c 10.099
_cell_angle_alpha 90.00
_cell_angle_beta 90.00
_cell_angle_gamma 90.00
_space_group_name_H-M_alt 'I 4/m m m'
_space_group_IT_number 139
_space_group_name_Hall '-I 4 2'
loop_
_atom_site_label
_atom_site_type_symbol
_atom_site_fract_x
_atom_site_fract_y
_atom_site_fract_z
Zn1 Zn 0.000 0.000 0.000
P1 P 0.000 0.000 0.227